An optimized crystal structure of GeBMoF2. Source: the Alexandria database, functional GGA+U.

Unit cell a=3.722 b=4.793 c=3.722 alpha=90.00 beta=90.00 gamma=90.00
Site moments in Bohr magnetons follow the coordinates.
Fractional coordinates of all 5 atoms:
F 0.500 0.000 0.000  0.04
F 0.000 0.000 0.500  0.03
Mo 0.500 0.500 0.500  2.94
B 0.000 0.000 0.000  0.06
Ge 0.000 0.500 0.000  -0.17

## Properties
The space-group type is P4/mmm (123). The total energy is -22.33 eV/cell.